Record 1
This record from Alexandria describes crystalline Y2NiCl at its relaxed geometry. The functional is PBE.

```
data_Y2NiCl
_chemical_formula_sum 'Y8 Ni4 Cl4'
_space_group_name_H-M_alt 'F m -3 m'
_space_group_IT_number 225
_space_group_name_Hall '-F 4 2 3'
_cell_length_a 7.013
_cell_length_b 7.013
_cell_length_c 7.013
_cell_angle_alpha 90.00
_cell_angle_beta 90.00
_cell_angle_gamma 90.00
loop_
_atom_site_label
_atom_site_type_symbol
_atom_site_fract_x
_atom_site_fract_y
_atom_site_fract_z
Y1 Y 0.250 0.250 0.250
Ni1 Ni 0.000 0.000 0.000
Cl1 Cl 0.000 0.000 0.500
```

Formation energy (no corrections): -467.1 meV/atom
Fermi-level density of states: 31.91 states/eV/cell
Crystal system: cubic
Distance to the lowest polymorph of the same formula: 0.444 eV/atom

=====

Record 2
This record from Alexandria describes crystalline Ga2GeIrBr at its relaxed geometry. The functional is PBE.

```
data_Ga2GeIrBr
_chemical_formula_sum 'Ga2 Ge1 Ir1 Br1'
_space_group_name_H-M_alt 'P 4/m m m'
_space_group_IT_number 123
_space_group_name_Hall '-P 4 2'
_cell_length_a 4.925
_cell_length_b 4.925
_cell_length_c 4.721
_cell_angle_alpha 90.00
_cell_angle_beta 90.00
_cell_angle_gamma 90.00
loop_
_atom_site_label
_atom_site_type_symbol
_atom_site_fract_x
_atom_site_fract_y
_atom_site_fract_z
Ga1 Ga 0.000 0.500 0.000
Ge1 Ge 0.000 0.000 0.500
Ir1 Ir 0.000 0.000 0.000
Br1 Br 0.500 0.500 0.500
```

Formation energy (no corrections): -417.6 meV/atom
Fermi-level density of states: 0.29 states/eV/cell
Crystal system: tetragonal

=====

Record 3
This record from Alexandria describes crystalline Tm2PuZr at its relaxed geometry. The functional is PBE.

```
data_Tm2PuZr
_chemical_formula_sum 'Tm2 Pu1 Zr1'
_space_group_name_H-M_alt 'P 4/m m m'
_space_group_IT_number 123
_space_group_name_Hall '-P 4 2'
_cell_length_a 4.727
_cell_length_b 4.727
_cell_length_c 4.811
_cell_angle_alpha 90.00
_cell_angle_beta 90.00
_cell_angle_gamma 90.00
loop_
_atom_site_label
_atom_site_type_symbol
_atom_site_fract_x
_atom_site_fract_y
_atom_site_fract_z
Tm1 Tm 0.000 0.500 0.000
Pu1 Pu 0.000 0.000 0.500
Zr1 Zr 0.500 0.500 0.500
```

E_form: 0.58 eV/f.u.
Fermi-level density of states: 13.49 states/eV/cell
Crystal system: tetragonal
Distance to the lowest polymorph of the same formula: 0.035 eV/atom

=====

Record 4
This record from Alexandria describes crystalline Rb6OsO8 at its relaxed geometry. The functional is PBE.

```
data_Rb6OsO8
_chemical_formula_sum 'Rb18 Os3 O24'
_space_group_name_H-M_alt 'R -3'
_space_group_IT_number 148
_space_group_name_Hall '-R 3'
_cell_length_a 8.7330
_cell_length_b 8.7330
_cell_length_c 15.2297
_cell_angle_alpha 90.00
_cell_angle_beta 90.00
_cell_angle_gamma 120.00
loop_
_atom_site_label
_atom_site_type_symbol
_atom_site_fract_x
_atom_site_fract_y
_atom_site_fract_z
Rb1 Rb 0.0235 0.7206 0.2499
Os1 Os 0.0000 0.0000 0.0000
O1 O 0.0000 0.0000 0.3473
O2 O 0.0123 0.8297 0.0712
```

Formation energy (no corrections): -1126.2 meV/atom
Fermi-level density of states: 2.24 states/eV/cell
Crystal system: trigonal

=====

Record 5
This record from Alexandria describes crystalline TcPtI2 at its relaxed geometry. The functional is PBE.

```
data_TcPtI2
_chemical_formula_sum 'Tc4 Pt4 I8'
_space_group_name_H-M_alt 'F m -3 m'
_space_group_IT_number 225
_space_group_name_Hall '-F 4 2 3'
_cell_length_a 6.915
_cell_length_b 6.915
_cell_length_c 6.915
_cell_angle_alpha 90.00
_cell_angle_beta 90.00
_cell_angle_gamma 90.00
loop_
_atom_site_label
_atom_site_type_symbol
_atom_site_fract_x
_atom_site_fract_y
_atom_site_fract_z
Tc1 Tc 0.000 0.000 0.000
Pt1 Pt 0.000 0.000 0.500
I1 I 0.250 0.250 0.250
```

Formation energy (no corrections): 997.3 meV/atom
Fermi-level density of states: 13.07 states/eV/cell
Crystal system: cubic
Distance to the lowest polymorph of the same formula: 0.226 eV/atom

=====

Record 6
This record from Alexandria describes crystalline NaSb2O3 at its relaxed geometry. The functional is PBE.

```
data_NaSb2O3
_chemical_formula_sum 'Na2 Sb4 O6'
_space_group_name_H-M_alt 'I m m 2'
_space_group_IT_number 44
_cell_length_a 3.489
_cell_length_b 13.964
_cell_length_c 5.265
_cell_angle_alpha 90.00
_cell_angle_beta 90.00
_cell_angle_gamma 90.00
loop_
_space_group_symop_operation_xyz
'x,y,z'
'-x,-y,z'
'-x,y,z'
'x,-y,z'
'x+1/2,y+1/2,z+1/2'
'-x+1/2,-y+1/2,z+1/2'
'-x+1/2,y+1/2,z+1/2'
'x+1/2,-y+1/2,z+1/2'
loop_
_atom_site_label
_atom_site_type_symbol
_atom_site_fract_x
_atom_site_fract_y
_atom_site_fract_z
Na1 Na 0.000 0.000 0.000
Sb1 Sb 0.000 0.366 0.979
O1 O 0.000 0.114 0.684
O2 O 0.000 0.500 0.813
```

Formation energy (no corrections): -1129.2 meV/atom
Fermi-level density of states: 3.17 states/eV/cell
Crystal system: orthorhombic

=====

Record 7
This record from Alexandria describes crystalline LiNdH6Pt2 at its relaxed geometry. The functional is PBE.

```
data_LiNdH6Pt2
_chemical_formula_sum 'Li3 Nd3 H18 Pt6'
_space_group_name_H-M_alt 'R -3 m'
_space_group_IT_number 166
_space_group_name_Hall '-R 3 2"'
_cell_length_a 4.5311
_cell_length_b 4.5311
_cell_length_c 15.8755
_cell_angle_alpha 90.00
_cell_angle_beta 90.00
_cell_angle_gamma 120.00
loop_
_atom_site_label
_atom_site_type_symbol
_atom_site_fract_x
_atom_site_fract_y
_atom_site_fract_z
Li1 Li 0.0000 0.0000 0.0000
Nd1 Nd 0.0000 0.0000 0.5000
H1 H 0.0227 0.5113 0.5679
Pt1 Pt 0.0000 0.0000 0.2905
```

Fermi-level density of states: 4.46 states/eV/cell
E_tot: -130.07 eV for the cell shown
Crystal system: trigonal

=====

Record 8
This record from Alexandria describes crystalline KFe2Rh at its relaxed geometry. The functional is PBE.

```
data_KFe2Rh
_chemical_formula_sum 'K4 Fe8 Rh4'
_space_group_name_H-M_alt 'F -4 3 m'
_space_group_IT_number 216
_space_group_name_Hall 'F -4 2 3'
_cell_length_a 6.439
_cell_length_b 6.439
_cell_length_c 6.439
_cell_angle_alpha 90.00
_cell_angle_beta 90.00
_cell_angle_gamma 90.00
loop_
_atom_site_label
_atom_site_type_symbol
_atom_site_fract_x
_atom_site_fract_y
_atom_site_fract_z
K1 K 0.000 0.000 0.000
Fe1 Fe 0.000 0.000 0.500
Fe2 Fe 0.250 0.250 0.750
Rh1 Rh 0.250 0.250 0.250
```

E_form: 4.37 eV/f.u.
Fermi-level density of states: 17.50 states/eV/cell
Crystal system: cubic
Distance to the lowest polymorph of the same formula: 0.567 eV/atom

=====

Record 9
This record from Alexandria describes crystalline NbNiSbAu2 at its relaxed geometry. The functional is PBE.

```
data_NbNiSbAu2
_chemical_formula_sum 'Nb1 Ni1 Sb1 Au2'
_space_group_name_H-M_alt 'P 4/m m m'
_space_group_IT_number 123
_space_group_name_Hall '-P 4 2'
_cell_length_a 5.033
_cell_length_b 5.033
_cell_length_c 5.239
_cell_angle_alpha 90.00
_cell_angle_beta 90.00
_cell_angle_gamma 90.00
loop_
_atom_site_label
_atom_site_type_symbol
_atom_site_fract_x
_atom_site_fract_y
_atom_site_fract_z
Nb1 Nb 0.000 0.000 0.000
Ni1 Ni 0.500 0.500 0.000
Sb1 Sb 0.000 0.000 0.500
Au1 Au 0.000 0.500 0.500
```

Formation energy (no corrections): 1356.6 meV/atom
Fermi-level density of states: 5.91 states/eV/cell
Crystal system: tetragonal

=====

Record 10
This record from Alexandria describes crystalline BeCr3Ir at its relaxed geometry. The functional is PBE.

```
data_BeCr3Ir
_chemical_formula_sum 'Be1 Cr3 Ir1'
_space_group_name_H-M_alt 'P m -3 m'
_space_group_IT_number 221
_space_group_name_Hall '-P 4 2 3'
_cell_length_a 3.911
_cell_length_b 3.911
_cell_length_c 3.911
_cell_angle_alpha 90.00
_cell_angle_beta 90.00
_cell_angle_gamma 90.00
loop_
_atom_site_label
_atom_site_type_symbol
_atom_site_fract_x
_atom_site_fract_y
_atom_site_fract_z
Be1 Be 0.000 0.000 0.000
Cr1 Cr 0.000 0.000 0.500
Ir1 Ir 0.500 0.500 0.500
```

E_form: 3.17 eV/f.u.
Fermi-level density of states: 4.46 states/eV/cell
Crystal system: cubic
Distance to the lowest polymorph of the same formula: 0.000 eV/atom

=====

Record 11
This record from Alexandria describes crystalline KLiCeBr5 at its relaxed geometry. The functional is PBE.

```
data_KLiCeBr5
_chemical_formula_sum 'K4 Li4 Ce4 Br20'
_space_group_name_H-M_alt 'C 1 2/c 1'
_space_group_IT_number 15
_cell_length_a 9.405
_cell_length_b 12.888
_cell_length_c 10.780
_cell_angle_alpha 90.00
_cell_angle_beta 113.31
_cell_angle_gamma 90.00
loop_
_space_group_symop_operation_xyz
'x,y,z'
'-x,-y,-z'
'-x,y,-z+1/2'
'x,-y,z+1/2'
'x+1/2,y+1/2,z'
'-x+1/2,-y+1/2,-z'
'-x+1/2,y+1/2,-z+1/2'
'x+1/2,-y+1/2,z+1/2'
loop_
_atom_site_label
_atom_site_type_symbol
_atom_site_fract_x
_atom_site_fract_y
_atom_site_fract_z
K1 K 0.000 0.143 0.250
Li1 Li 0.000 0.190 0.750
Ce1 Ce 0.000 0.500 0.000
Br1 Br 0.000 0.406 0.250
Br2 Br 0.124 0.301 0.624
Br3 Br 0.182 0.067 0.932
```

Formation energy (no corrections): -1725.5 meV/atom
Fermi-level density of states: 31.10 states/eV/cell
Crystal system: monoclinic

=====

Record 12
This record from Alexandria describes crystalline Sr3F7 at its relaxed geometry. The functional is PBE.

```
data_Sr3F7
_chemical_formula_sum 'Sr6 F14'
_space_group_name_H-M_alt 'C 1 2/m 1'
_space_group_IT_number 12
_cell_length_a 13.718
_cell_length_b 3.889
_cell_length_c 6.262
_cell_angle_alpha 90.00
_cell_angle_beta 110.85
_cell_angle_gamma 90.00
loop_
_space_group_symop_operation_xyz
'x,y,z'
'-x,-y,-z'
'-x,y,-z'
'x,-y,z'
'x+1/2,y+1/2,z'
'-x+1/2,-y+1/2,-z'
'-x+1/2,y+1/2,-z'
'x+1/2,-y+1/2,z'
loop_
_atom_site_label
_atom_site_type_symbol
_atom_site_fract_x
_atom_site_fract_y
_atom_site_fract_z
Sr1 Sr 0.000 0.000 0.000
Sr2 Sr 0.190 0.000 0.700
F1 F 0.000 0.000 0.500
F2 F 0.070 0.500 0.845
F3 F 0.159 0.500 0.428
F4 F 0.196 0.000 0.105
```

Formation energy (no corrections): -3422.0 meV/atom
Fermi-level density of states: 17.09 states/eV/cell
Crystal system: monoclinic